Material: CuAg2Os
Method: DFT, PBE-GGA
State: optimized geometry

**Energy above the most stable polymorph in this dataset**: 150 meV per atom
**Crystal system**: orthorhombic
**Total magnetic moment**: 0.00 μB/f.u.
**DFT formation energy**: 0.484 eV per atom
**Calculated volume**: 125.08 Å³/cell

```
data_CuAg2Os
_chemical_formula_sum 'Cu2 Ag4 Os2'
_cell_length_a 2.818
_cell_length_b 4.629
_cell_length_c 9.590
_cell_angle_alpha 90.00
_cell_angle_beta 90.00
_cell_angle_gamma 90.00
_symmetry_space_group_name_H-M 'C m m m'
_symmetry_Int_Tables_number 65
_symmetry_space_group_name_Hall '-C 2 2'
loop_
_atom_site_label
_atom_site_fract_x
_atom_site_fract_y
_atom_site_fract_z
_atom_site_occupancy
Cu1 0.000 0.000 0.000 1
Ag1 0.000 0.500 0.239 1
Os1 0.000 0.000 0.500 1
```

=====

Material: Cu2AgOs
Method: DFT, PBE-GGA
State: optimized geometry

**Energy above the most stable polymorph in this dataset**: 340 meV per atom
**Crystal system**: cubic
**Total magnetic moment**: 1.55 μB/f.u.
**DFT formation energy**: 0.603 eV per atom
**Calculated volume**: 225.22 Å³/cell

```
data_Cu2AgOs
_chemical_formula_sum 'Cu8 Ag4 Os4'
_cell_length_a 6.084
_cell_length_b 6.084
_cell_length_c 6.084
_cell_angle_alpha 90.00
_cell_angle_beta 90.00
_cell_angle_gamma 90.00
_symmetry_space_group_name_H-M 'F m -3 m'
_symmetry_Int_Tables_number 225
_symmetry_space_group_name_Hall '-F 4 2 3'
loop_
_atom_site_label
_atom_site_fract_x
_atom_site_fract_y
_atom_site_fract_z
_atom_site_occupancy
Cu1 0.250 0.250 0.250 1
Ag1 0.000 0.000 0.000 1
Os1 0.000 0.000 0.500 1
```